! Pu3Si3Ir2, optimized geometry, DFT PBE; values from VASP
! Raw formation energy = -0.638 eV per atom
! E_tot = -10.262 eV/atom
! Space group = Cmcm
&SYSTEM
  ibrav = 0, nat = 16, ntyp = 3
/
ATOMIC_SPECIES
Ir 192.22 Ir.upf
Si 28.09 Si.upf
Pu 244.00 Pu.upf
CELL_PARAMETERS angstrom
4.251 0.000 0.000
-2.125 5.120 0.000
0.000 0.000 14.145
ATOMIC_POSITIONS crystal
Ir 0.801 0.601 0.899
Ir 0.199 0.399 0.399
Ir 0.199 0.399 0.101
Ir 0.801 0.601 0.601
Si 0.379 0.759 0.532
Si 0.621 0.241 0.032
Si 0.331 0.662 0.250
Si 0.621 0.241 0.468
Si 0.379 0.759 0.968
Si 0.669 0.338 0.750
Pu 0.083 0.167 0.614
Pu 0.917 0.833 0.386
Pu 0.628 0.256 0.250
Pu 0.917 0.833 0.114
Pu 0.372 0.744 0.750
Pu 0.083 0.167 0.886



! NaSrAs3, optimized geometry, DFT PBE; values from VASP
! E_tot = -3.231 eV/atom
! Space group = Pm-3m
! Calculated formation energy = 0.16 eV per atom
&SYSTEM
  ibrav = 0, nat = 5, ntyp = 3
/
ATOMIC_SPECIES
Na 22.99 Na.upf
As 74.92 As.upf
Sr 87.62 Sr.upf
CELL_PARAMETERS angstrom
5.109 0.000 0.000
0.000 5.109 0.000
0.000 0.000 5.109
ATOMIC_POSITIONS crystal
Na 0.000 0.000 0.000
As 0.500 0.000 0.000
As 0.000 0.500 0.000
As 0.000 0.000 0.500
Sr 0.500 0.500 0.500



! LaNdHg4, optimized geometry, DFT PBE; values from VASP
! E_tot = -2.132 eV/atom
! Space group = F-43m
! Calculated formation energy = -0.31 eV per atom
&SYSTEM
  ibrav = 0, nat = 6, ntyp = 3
/
ATOMIC_SPECIES
Hg 200.59 Hg.upf
La 138.91 La.upf
Nd 144.24 Nd.upf
CELL_PARAMETERS angstrom
6.066 0.000 0.000
3.033 5.254 0.000
3.033 1.751 4.953
ATOMIC_POSITIONS crystal
Hg 0.625 0.125 0.625
Hg 0.625 0.625 0.625
Hg 0.125 0.625 0.625
Hg 0.625 0.625 0.125
La 0.250 0.250 0.250
Nd 0.000 0.000 0.000



! ScHgTe4, optimized geometry, DFT PBE; values from VASP
! Raw formation energy = 0.205 eV per atom
! E_tot = -2.995 eV/atom
! Space group = F-43m
&SYSTEM
  ibrav = 0, nat = 6, ntyp = 3
/
ATOMIC_SPECIES
Sc 44.96 Sc.upf
Te 127.60 Te.upf
Hg 200.59 Hg.upf
CELL_PARAMETERS angstrom
0.000 4.499 4.499
4.499 0.000 4.499
4.499 4.499 0.000
ATOMIC_POSITIONS crystal
Sc 0.000 0.000 0.000
Te 0.374 0.374 0.374
Te 0.374 0.877 0.374
Te 0.877 0.374 0.374
Te 0.374 0.374 0.877
Hg 0.750 0.750 0.750



! La2DyZnS5, optimized geometry, DFT PBE; values from VASP
! Raw formation energy = -1.845 eV per atom
! E_tot = -5.886 eV/atom
! Space group = Cmc2_1
&SYSTEM
  ibrav = 0, nat = 18, ntyp = 4
/
ATOMIC_SPECIES
S 32.06 S.upf
La 138.91 La.upf
Zn 65.41 Zn.upf
Dy 162.50 Dy.upf
CELL_PARAMETERS angstrom
3.933 0.000 0.000
-1.966 8.528 0.000
0.000 0.000 12.097
ATOMIC_POSITIONS crystal
S 0.316 0.631 0.360
S 0.354 0.709 0.008
S 0.506 0.013 0.268
S 0.494 0.987 0.768
S 0.706 0.412 0.175
S 0.294 0.588 0.675
S 0.684 0.369 0.860
S 0.963 0.926 0.543
S 0.646 0.291 0.508
S 0.037 0.074 0.043
La 0.870 0.740 0.824
La 0.116 0.232 0.687
La 0.130 0.260 0.324
La 0.884 0.768 0.187
Zn 0.453 0.905 0.441
Zn 0.547 0.095 0.941
Dy 0.804 0.607 0.519
Dy 0.196 0.393 0.019



! Pa2NiIr, optimized geometry, DFT PBE; values from VASP
! E_tot = -8.905 eV/atom
! Space group = F-43m
! Calculated formation energy = -0.50 eV per atom
&SYSTEM
  ibrav = 0, nat = 4, ntyp = 3
/
ATOMIC_SPECIES
Pa 231.04 Pa.upf
Ir 192.22 Ir.upf
Ni 58.69 Ni.upf
CELL_PARAMETERS angstrom
-3.918 1.143 2.299
-4.179 -1.148 -1.780
-2.578 -3.339 2.039
ATOMIC_POSITIONS crystal
Pa 0.678 0.441 0.204
Pa 0.928 0.690 0.454
Ir 0.177 0.940 0.705
Ni 0.428 0.191 0.954